First-principles (PBE-GGA) data for a geometry-optimized Na2Li3NpF12 structure, as listed in the Alexandria database.

Calculated values
E (eV/cell): -268.64
Formation energy (no corrections) (meV per atom): -2543
Total magnetic moment (μB/atom): 0.147

```
data_Na2Li3NpF12
_chemical_formula_sum 'Na6 Li9 Np3 F36'
_cell_length_a 7.1411
_cell_length_b 7.1411
_cell_length_c 18.0688
_cell_angle_alpha 90.00
_cell_angle_beta 90.00
_cell_angle_gamma 120.00
_space_group_name_H-M_alt 'R -3 m'
_space_group_IT_number 166
_space_group_name_Hall '-R 3 2"'
loop_
_atom_site_label
_atom_site_fract_x
_atom_site_fract_y
_atom_site_fract_z
Na1 0.0000 0.0000 0.1917
Li1 0.0000 0.5000 0.0000
Np1 0.0000 0.0000 0.5000
F1 0.0574 0.5287 0.2269
F2 0.0935 0.5467 0.3797
```



First-principles (PBE-GGA) data for a geometry-optimized Na2LiNpF8 structure, as listed in the Alexandria database.

Calculated values
E (eV/cell): -68.65
Formation energy (no corrections) (meV per atom): -3015
Total magnetic moment (μB/atom): 0.167

```
data_Na2LiNpF8
_chemical_formula_sum 'Na2 Li1 Np1 F8'
_cell_length_a 5.114
_cell_length_b 5.212
_cell_length_c 7.060
_cell_angle_alpha 88.55
_cell_angle_beta 88.20
_cell_angle_gamma 84.22
_space_group_name_H-M_alt 'P -1'
_space_group_IT_number 2
loop_
_space_group_symop_operation_xyz
'x,y,z'
'-x,-y,-z'
loop_
_atom_site_label
_atom_site_fract_x
_atom_site_fract_y
_atom_site_fract_z
Na1 0.010 0.010 0.210
Li1 0.500 0.500 0.000
Np1 0.500 0.500 0.500
F1 0.208 0.812 0.500
F2 0.242 0.766 0.999
F3 0.294 0.316 0.710
F4 0.306 0.327 0.291
```